Here is PuSnC after structural relaxation from the Alexandria database. Energies are from GGA-PBE.

The structure in extended XYZ format:
```
6
Lattice="0.066 4.479 -4.119 -0.658 2.298 -6.514 -6.265 -2.477 4.164" Properties=species:S:1:pos:R:3 pbc="T T T"
Sn -4.960 1.540 -2.947
Pu -5.053 0.518 0.321
Pu -2.031 2.996 -2.855
C -6.615 3.068 -3.848
C -1.472 5.193 -7.346
Sn -2.209 3.833 -5.862
```

## Properties
raw total energy: -53.76 eV for the cell shown
mass density: 9.674 g/cm³